# TlGaAu6

TlGaAu6 after structural relaxation (PBE, Alexandria).

Output
Density, kg/m³: 14437
Energy relative to the elements, meV/atom: -16.3
DOS at the Fermi energy, states/eV/f.u.: 2.82
E above lowest polymorph, eV/atom: 0.017
E, eV/atom: -3.148

abc: 3.4754 6.0980 7.9015
angles: 90.00 90.00 90.00
Last column: nearest neighbours and their distance in Å.
Positions (direct):
Tl  0.0000  0.6616  0.0000  8 Au 3.04-3.39
Au  0.5000  0.0899  0.0000  6 Au 2.79-2.83
Au  0.5000  0.8977  0.3205  1 Ga 2.77, 6 Au 2.79-2.95
Au  0.0000  0.2751  0.7562  2 Ga 2.67, 5 Au 2.83-2.95
Au  0.5000  0.8977  0.6795  1 Ga 2.77, 6 Au 2.79-2.95
Au  0.0000  0.2751  0.2438  2 Ga 2.67, 5 Au 2.83-2.95
Ga  0.5000  0.2886  0.5000  8 Au 2.64-2.77
Au  0.0000  0.6144  0.5000  2 Ga 2.64, 6 Au 2.83-2.89